[1]
{
  "formula": "Rb2U2Se7",
  "functional": "GGA-PBE",
  "state": "optimized geometry",
  "lattice": [[6.062, -4.209, 0.000], [6.062, 4.209, 0.000], [-0.479, 0.000, 7.280]],
  "species": ["Rb", "Rb", "U", "U", "Se", "Se", "Se", "Se", "Se", "Se", "Se"],
  "fractional_positions": [[0.234, 0.766, 0.000], [0.766, 0.234, 0.000], [0.231, 0.231, 0.512], [0.769, 0.769, 0.488], [0.000, 0.000, 0.500], [0.028, 0.501, 0.259], [0.454, 0.454, 0.637], [0.499, 0.972, 0.741], [0.501, 0.028, 0.259], [0.546, 0.546, 0.363], [0.972, 0.499, 0.741]],
  "dft_energy_ev_per_atom": -5.4147,
  "raw_formation_energy_ev_per_atom": -0.969,
  "dos_at_fermi_per_ev_atom": 0.617
}

=====

[2]
{
  "formula": "RbUSe3",
  "functional": "GGA-PBE",
  "state": "optimized geometry",
  "lattice": [[5.479, 0.000, 0.000], [0.000, 5.479, 0.000], [0.000, 0.000, 5.479]],
  "species": ["Rb", "U", "Se", "Se", "Se"],
  "fractional_positions": [[0.000, 0.000, 0.000], [0.500, 0.500, 0.500], [0.000, 0.500, 0.500], [0.500, 0.000, 0.500], [0.500, 0.500, 0.000]],
  "dft_energy_ev_per_atom": -5.7236,
  "raw_formation_energy_ev_per_atom": -1.182,
  "dos_at_fermi_per_ev_atom": 0.741
}

=====

[3]
{
  "formula": "Rb2USe4",
  "functional": "GGA-PBE",
  "state": "optimized geometry",
  "lattice": [[-3.848, 3.848, 17.365], [3.848, -3.848, 17.365], [3.848, 3.848, -17.365]],
  "species": ["Rb", "Rb", "Rb", "Rb", "Rb", "Rb", "Rb", "Rb", "U", "U", "U", "U", "Se", "Se", "Se", "Se", "Se", "Se", "Se", "Se", "Se", "Se", "Se", "Se", "Se", "Se", "Se", "Se"],
  "fractional_positions": [[0.052, 0.302, 0.750], [0.198, 0.448, 0.750], [0.302, 0.052, 0.250], [0.448, 0.198, 0.250], [0.552, 0.802, 0.750], [0.698, 0.948, 0.750], [0.802, 0.552, 0.250], [0.948, 0.698, 0.250], [0.125, 0.875, 0.250], [0.375, 0.625, 0.750], [0.625, 0.375, 0.250], [0.875, 0.125, 0.750], [0.050, 0.800, 0.250], [0.124, 0.874, 0.748], [0.126, 0.374, 0.250], [0.200, 0.950, 0.250], [0.300, 0.550, 0.750], [0.374, 0.624, 0.248], [0.376, 0.124, 0.750], [0.450, 0.700, 0.750], [0.550, 0.300, 0.250], [0.624, 0.876, 0.250], [0.626, 0.376, 0.752], [0.700, 0.450, 0.250], [0.800, 0.050, 0.750], [0.874, 0.626, 0.750], [0.876, 0.126, 0.252], [0.950, 0.200, 0.750]],
  "relative_energy_kj_per_mol_atoms": 0.0,
  "dft_energy_ev_per_atom": -5.0365,
  "raw_formation_energy_ev_per_atom": -1.156,
  "dos_at_fermi_per_ev_atom": 0.084
}

=====

[4]
{
  "formula": "Rb2USe4",
  "functional": "GGA-PBE",
  "state": "optimized geometry",
  "lattice": [[7.477, 0.000, 0.000], [0.000, 4.278, 0.000], [-3.535, 0.000, 8.133]],
  "species": ["Rb", "Rb", "U", "Se", "Se", "Se", "Se"],
  "fractional_positions": [[0.219, 0.000, 0.339], [0.781, 0.000, 0.661], [0.500, 0.500, 0.000], [0.251, 0.000, 0.960], [0.409, 0.500, 0.683], [0.591, 0.500, 0.317], [0.749, 0.000, 0.040]],
  "relative_energy_kj_per_mol_atoms": 6.5,
  "dft_energy_ev_per_atom": -4.9691,
  "raw_formation_energy_ev_per_atom": -1.089
}

=====

[5]
{
  "formula": "RbU3Se6",
  "functional": "GGA-PBE",
  "state": "optimized geometry",
  "lattice": [[12.624, 0.000, 0.000], [0.000, 4.191, 0.000], [-3.793, 0.000, 12.300]],
  "species": ["Rb", "Rb", "U", "U", "U", "U", "U", "U", "Se", "Se", "Se", "Se", "Se", "Se", "Se", "Se", "Se", "Se", "Se", "Se"],
  "fractional_positions": [[0.139, 0.250, 0.418], [0.861, 0.750, 0.582], [0.149, 0.750, 0.045], [0.236, 0.250, 0.790], [0.463, 0.250, 0.349], [0.537, 0.750, 0.651], [0.764, 0.750, 0.210], [0.851, 0.250, 0.955], [0.050, 0.250, 0.889], [0.145, 0.750, 0.645], [0.244, 0.250, 0.192], [0.317, 0.750, 0.943], [0.370, 0.750, 0.448], [0.445, 0.250, 0.745], [0.555, 0.750, 0.255], [0.630, 0.250, 0.552], [0.683, 0.250, 0.057], [0.756, 0.750, 0.808], [0.855, 0.250, 0.355], [0.950, 0.750, 0.111]],
  "dft_energy_ev_per_atom": -6.7277,
  "raw_formation_energy_ev_per_atom": -1.154,
  "dos_at_fermi_per_ev_atom": 1.630
}

=====

[6]
{
  "formula": "Rb5USe6",
  "functional": "GGA-PBE",
  "state": "optimized geometry",
  "lattice": [[4.194, -7.181, 0.000], [4.194, 7.181, 0.000], [-2.885, 0.000, 7.659]],
  "species": ["Rb", "Rb", "Rb", "Rb", "Rb", "U", "Se", "Se", "Se", "Se", "Se", "Se"],
  "fractional_positions": [[0.000, 0.000, 0.000], [0.166, 0.834, 0.500], [0.325, 0.675, 0.000], [0.675, 0.325, 0.000], [0.834, 0.166, 0.500], [0.500, 0.500, 0.500], [0.163, 0.432, 0.293], [0.307, 0.307, 0.704], [0.432, 0.163, 0.293], [0.568, 0.837, 0.707], [0.693, 0.693, 0.296], [0.837, 0.568, 0.707]],
  "dft_energy_ev_per_atom": -4.1980,
  "raw_formation_energy_ev_per_atom": -1.112,
  "dos_at_fermi_per_ev_atom": 1.086
}

=====

[7]
{
  "formula": "Rb2U2Se5",
  "functional": "GGA-PBE",
  "state": "optimized geometry",
  "lattice": [[7.329, -2.825, 0.000], [7.329, 2.825, 0.000], [-4.690, 0.000, 7.264]],
  "species": ["Rb", "Rb", "U", "U", "Se", "Se", "Se", "Se", "Se"],
  "fractional_positions": [[0.126, 0.126, 0.461], [0.874, 0.874, 0.539], [0.392, 0.392, 0.105], [0.608, 0.608, 0.895], [0.153, 0.153, 0.916], [0.387, 0.387, 0.780], [0.500, 0.500, 0.500], [0.613, 0.613, 0.220], [0.847, 0.847, 0.084]],
  "relative_energy_kj_per_mol_atoms": 6.2,
  "dft_energy_ev_per_atom": -5.8307,
  "raw_formation_energy_ev_per_atom": -1.171,
  "dos_at_fermi_per_ev_atom": 1.821
}

=====

[8]
{
  "formula": "Rb2U3Se9",
  "functional": "GGA-PBE",
  "state": "optimized geometry",
  "lattice": [[7.564, -4.365, 0.000], [7.564, 4.365, 0.000], [-5.034, 0.000, 11.087]],
  "species": ["Rb", "Rb", "Rb", "Rb", "U", "U", "U", "U", "U", "U", "Se", "Se", "Se", "Se", "Se", "Se", "Se", "Se", "Se", "Se", "Se", "Se", "Se", "Se", "Se", "Se", "Se", "Se"],
  "fractional_positions": [[0.082, 0.247, 0.250], [0.247, 0.082, 0.750], [0.753, 0.918, 0.250], [0.918, 0.753, 0.750], [0.000, 0.500, 0.000], [0.186, 0.656, 0.500], [0.344, 0.814, 0.000], [0.500, 0.000, 0.500], [0.656, 0.186, 0.000], [0.814, 0.344, 0.500], [0.007, 0.864, 0.057], [0.136, 0.993, 0.443], [0.146, 0.580, 0.250], [0.173, 0.353, 0.557], [0.304, 0.483, 0.947], [0.318, 0.682, 0.750], [0.353, 0.173, 0.057], [0.420, 0.854, 0.250], [0.483, 0.304, 0.447], [0.517, 0.696, 0.553], [0.580, 0.146, 0.750], [0.647, 0.827, 0.943], [0.682, 0.318, 0.250], [0.696, 0.517, 0.053], [0.827, 0.647, 0.443], [0.854, 0.420, 0.750], [0.864, 0.007, 0.557], [0.993, 0.136, 0.943]],
  "dft_energy_ev_per_atom": -5.6637,
  "raw_formation_energy_ev_per_atom": -0.867,
  "dos_at_fermi_per_ev_atom": 1.187
}

=====

[9]
{
  "formula": "Rb3U4Se12",
  "functional": "GGA-PBE",
  "state": "optimized geometry",
  "lattice": [[-5.450, 5.450, 5.450], [5.450, -5.450, 5.450], [5.450, 5.450, -5.450]],
  "species": ["Rb", "Rb", "Rb", "U", "U", "U", "U", "Se", "Se", "Se", "Se", "Se", "Se", "Se", "Se", "Se", "Se", "Se", "Se"],
  "fractional_positions": [[0.000, 0.500, 0.500], [0.500, 0.000, 0.500], [0.500, 0.500, 0.000], [0.000, 0.000, 0.500], [0.000, 0.500, 0.000], [0.500, 0.000, 0.000], [0.500, 0.500, 0.500], [0.002, 0.750, 0.251], [0.250, 0.251, 0.501], [0.250, 0.749, 0.998], [0.251, 0.002, 0.750], [0.251, 0.501, 0.250], [0.499, 0.750, 0.749], [0.501, 0.250, 0.251], [0.749, 0.499, 0.750], [0.749, 0.998, 0.250], [0.750, 0.251, 0.002], [0.750, 0.749, 0.499], [0.998, 0.250, 0.749]],
  "dft_energy_ev_per_atom": -5.8185,
  "raw_formation_energy_ev_per_atom": -1.088,
  "dos_at_fermi_per_ev_atom": 0.848
}

=====

[10]
{
  "formula": "Rb3USe4",
  "functional": "GGA-PBE",
  "state": "optimized geometry",
  "lattice": [[-4.021, 5.740, 4.398], [4.021, -5.740, 4.398], [4.021, 5.740, -4.398]],
  "species": ["Rb", "Rb", "Rb", "U", "Se", "Se", "Se", "Se"],
  "fractional_positions": [[0.000, 0.000, 0.000], [0.264, 0.483, 0.781], [0.702, 0.483, 0.219], [0.477, 0.977, 0.500], [0.296, 0.051, 0.755], [0.296, 0.541, 0.245], [0.409, 0.113, 0.296], [0.817, 0.113, 0.704]],
  "relative_energy_kj_per_mol_atoms": 27.1,
  "dft_energy_ev_per_atom": -4.4694,
  "raw_formation_energy_ev_per_atom": -0.953,
  "dos_at_fermi_per_ev_atom": 0.572
}

=====

[11]
{
  "formula": "RbU2Se4",
  "functional": "GGA-PBE",
  "state": "optimized geometry",
  "lattice": [[2.102, 1.214, 14.890], [-2.102, 1.214, 14.890], [0.000, -2.427, 14.890]],
  "species": ["Rb", "U", "U", "Se", "Se", "Se", "Se"],
  "fractional_positions": [[0.000, 0.000, 0.000], [0.425, 0.425, 0.425], [0.575, 0.575, 0.575], [0.124, 0.124, 0.124], [0.279, 0.279, 0.279], [0.721, 0.721, 0.721], [0.876, 0.876, 0.876]],
  "relative_energy_kj_per_mol_atoms": 0.3,
  "dft_energy_ev_per_atom": -6.5375,
  "raw_formation_energy_ev_per_atom": -1.183,
  "dos_at_fermi_per_ev_atom": 1.504
}

=====

[12]
{
  "formula": "Rb2USe3",
  "functional": "GGA-PBE",
  "state": "optimized geometry",
  "lattice": [[3.859, -6.676, 0.000], [3.859, 6.676, 0.000], [-2.629, 0.000, 7.987]],
  "species": ["Rb", "Rb", "Rb", "Rb", "U", "U", "Se", "Se", "Se", "Se", "Se", "Se"],
  "fractional_positions": [[0.000, 0.000, 0.000], [0.154, 0.846, 0.500], [0.500, 0.500, 0.500], [0.846, 0.154, 0.500], [0.332, 0.668, 0.000], [0.668, 0.332, 0.000], [0.069, 0.451, 0.200], [0.313, 0.313, 0.803], [0.451, 0.069, 0.200], [0.549, 0.931, 0.800], [0.687, 0.687, 0.197], [0.931, 0.549, 0.800]],
  "dft_energy_ev_per_atom": -5.2043,
  "raw_formation_energy_ev_per_atom": -1.258,
  "dos_at_fermi_per_ev_atom": 0.741
}